# 1
Here is a relaxed TbEr5Sc4 crystal from Alexandria via LeMat-Bulk. Energies are from GGA-PBE.

Results
- Calculated formation energy: 158 meV per atom
- Offset from the most stable computed form: 0.0 meV per atom

a = 17.240 Å, b = 3.431 Å, c = 9.838 Å
α = 90.00°, β = 96.04°, γ = 90.00°
Space group C2/m (No. 12)
Unique sites:
1 Tb 0.000 0.000 0.000 [2 per cell]
2 Er 0.000 0.000 0.500 [2 per cell]
3 Er 0.141 0.500 0.233 [4 per cell]
4 Er 0.190 0.500 0.596 [4 per cell]
5 Sc 0.050 0.500 0.764 [4 per cell]
6 Sc 0.185 0.000 0.912 [4 per cell]

# 2
Here is a relaxed Tm4CN crystal from Alexandria via LeMat-Bulk. Energies are from GGA-PBE.

Results
- Uncorrected formation energy: -73.38 kJ per mole of atoms

a = 11.855 Å, b = 3.489 Å, c = 6.034 Å
α = 90.00°, β = 99.95°, γ = 90.00°
Space group C2/m (No. 12)
Unique sites:
1 Tm 0.113 0.000 0.373 [4 per cell]
2 Tm 0.115 0.500 0.871 [4 per cell]
3 C 0.000 0.000 0.000 [2 per cell]
4 N 0.000 0.500 0.500 [2 per cell]

# 3
Here is a relaxed SrAcAuO4 crystal from Alexandria via LeMat-Bulk. Energies are from GGA-PBE.

Results
- Uncorrected formation energy: -167.74 kJ per mole of atoms

a = 6.121 Å, b = 11.354 Å, c = 7.268 Å
α = 90.00°, β = 90.00°, γ = 90.00°
Space group Cmcm (No. 63)
Unique sites:
1 Sr 0.000 0.000 0.000 [4 per cell]
2 Ac 0.000 0.323 0.250 [4 per cell]
3 Au 0.000 0.355 0.750 [4 per cell]
4 O 0.000 0.219 0.548 [8 per cell]
5 O 0.224 0.500 0.250 [8 per cell]

# 4
Here is a relaxed Zr2CuSb crystal from Alexandria via LeMat-Bulk. Energies are from GGA-PBE.

Results
- Uncorrected formation energy: -23.20 kJ per mole of atoms

a = 4.1644 Å, b = 4.1644 Å, c = 5.9012 Å
α = 90.00°, β = 90.00°, γ = 120.00°
Space group P-3m1 (No. 164)
Unique sites:
1 Zr 0.3333 0.6667 0.2148 [2 per cell]
2 Cu 0.0000 0.0000 0.0000 [1 per cell]
3 Sb 0.0000 0.0000 0.5000 [1 per cell]